Entry 1:
The following is a DFT calculation (GGA-PBE) of a relaxed ScMnCdS4 crystal.

a = 7.463 Å, b = 7.463 Å, c = 7.463 Å
α = 118.91°, β = 118.52°, γ = 92.24°
Sites, in units of the cell vectors:
Sc: 0.000 0.000 0.000
Sc: 0.500 0.000 0.500
Mn: 0.500 0.000 0.000
Mn: 0.500 0.500 0.500
Cd: 0.124 0.374 0.750
Cd: 0.876 0.626 0.250
S: 0.267 0.246 0.479
S: 0.267 0.788 0.021
S: 0.282 0.247 0.035
S: 0.288 0.753 0.535
S: 0.712 0.247 0.465
S: 0.718 0.753 0.965
S: 0.733 0.212 0.979
S: 0.733 0.754 0.521

As for the symmetry: Imma. The total DFT energy (no corrections) comes out at -5.732 eV per atom. The volume comes out at 21.4 A^3/atom.

Entry 2:
The following is a DFT calculation (GGA-PBE) of a relaxed MnCdSnS4 crystal.

a = 7.649 Å, b = 7.649 Å, c = 7.649 Å
α = 121.25°, β = 119.58°, γ = 89.29°
Sites, in units of the cell vectors:
Mn: 0.500 0.000 0.000
Mn: 0.500 0.500 0.500
Cd: 0.106 0.356 0.750
Cd: 0.894 0.644 0.250
Sn: 0.000 0.000 0.000
Sn: 0.500 0.000 0.500
S: 0.262 0.251 0.489
S: 0.262 0.773 0.011
S: 0.269 0.237 0.032
S: 0.295 0.763 0.532
S: 0.705 0.237 0.468
S: 0.731 0.763 0.968
S: 0.738 0.227 0.989
S: 0.738 0.749 0.511

As for the symmetry: Imma. The total DFT energy (no corrections) comes out at -4.863 eV per atom. The volume comes out at 22.5 A^3/atom.

- Among the records above, which one has the highest volume?
  MnCdSnS4